[1]
Na3RhCl: optimized geometry, PBE.

Unit cell a=5.153 b=5.153 c=5.153 alpha=90.00 beta=90.00 gamma=90.00
Fractional coordinates of all 5 atoms:
Cl  0.000  0.000  0.000
Na  0.000  0.500  0.000
Na  0.000  0.000  0.500
Na  0.500  0.000  0.000
Rh  0.500  0.500  0.500

excess energy over the best structure of this formula in the dataset: 0.0000 eV per atom
energy relative to the elements, uncorrected: -0.087 eV per atom
N(E_F): 0.70 states/eV/atom
space-group type: No. 221

---

[2]
Pr2SnAu: optimized geometry, PBE.

Unit cell a=4.604 b=6.365 c=8.582 alpha=111.17 beta=90.00 gamma=90.00
Fractional coordinates of all 8 atoms:
Pr  0.250  0.777  0.584
Pr  0.750  0.210  0.938
Pr  0.250  0.790  0.062
Pr  0.750  0.223  0.416
Sn  0.750  0.673  0.293
Sn  0.250  0.327  0.707
Au  0.250  0.341  0.206
Au  0.750  0.659  0.794

N(E_F): 1.18 states/eV/atom
space-group type: No. 11
energy of formation: -0.74 eV/atom

---

[3]
EuY5: optimized geometry, PBE.

Unit cell a=5.105 b=5.122 c=8.066 alpha=108.51 beta=90.00 gamma=90.00
Fractional coordinates of all 6 atoms:
Y  0.500  0.170  0.341
Y  0.000  0.670  0.341
Y  0.500  0.830  0.659
Y  0.000  0.330  0.659
Y  0.500  0.500  0.000
Eu  0.000  0.000  0.000

N(E_F): 1.58 states/eV/atom
space-group type: No. 65
energy of formation: 0.06 eV/atom

---

[4]
AgSe3F: optimized geometry, PBE.

Unit cell a=4.696 b=4.696 c=4.696 alpha=90.00 beta=90.00 gamma=90.00
Fractional coordinates of all 5 atoms:
Se  0.000  0.000  0.500
Se  0.000  0.500  0.000
Se  0.500  0.000  0.000
Ag  0.500  0.500  0.500
F  0.000  0.000  0.000

excess energy over the best structure of this formula in the dataset: 0.0000 eV per atom
energy relative to the elements, uncorrected: 0.438 eV per atom
N(E_F): 0.63 states/eV/atom
space-group type: No. 221

---

[5]
NaCaPd2: optimized geometry, PBE.

Unit cell a=3.960 b=4.485 c=4.485 alpha=90.00 beta=90.00 gamma=90.00
Fractional coordinates of all 4 atoms:
Na  0.500  0.000  0.000
Pd  0.000  0.500  0.000
Pd  0.000  0.000  0.500
Ca  0.500  0.500  0.500

N(E_F): 0.34 states/eV/atom
space-group type: No. 123
energy of formation: -0.36 eV/atom

---

[6]
Dy2TaVN5: optimized geometry, PBE.

Unit cell a=3.250 b=6.779 c=10.106 alpha=90.00 beta=90.00 gamma=103.87
Fractional coordinates of all 18 atoms:
V  0.523  0.046  0.960
V  0.477  0.954  0.460
N  0.507  0.014  0.287
N  0.048  0.095  0.046
N  0.493  0.986  0.787
N  0.952  0.905  0.546
N  0.284  0.568  0.651
N  0.716  0.432  0.151
N  0.684  0.369  0.878
N  0.316  0.631  0.378
N  0.632  0.263  0.502
N  0.368  0.737  0.002
Ta  0.783  0.566  0.511
Ta  0.217  0.434  0.011
Dy  0.891  0.781  0.193
Dy  0.858  0.716  0.796
Dy  0.142  0.284  0.296
Dy  0.109  0.219  0.693

energy relative to the elements, uncorrected: -1.330 eV per atom
N(E_F): 0.28 states/eV/atom
space-group type: No. 36

---

[7]
CePmGaCu: optimized geometry, PBE.

Unit cell a=5.118 b=5.118 c=5.118 alpha=60.00 beta=60.00 gamma=60.00
Fractional coordinates of all 4 atoms:
Cu  0.250  0.250  0.250
Pm  0.000  0.000  0.000
Ga  0.750  0.750  0.750
Ce  0.500  0.500  0.500

N(E_F): 2.27 states/eV/atom
space-group type: No. 216
energy of formation: -0.27 eV/atom

---

[8]
KSm3O6: optimized geometry, PBE.

Unit cell a=9.716 b=9.716 c=9.757 alpha=90.00 beta=90.00 gamma=88.80
Fractional coordinates of all 10 atoms:
O  0.005  0.707  0.000
O  0.293  0.995  0.000
O  0.000  0.000  0.293
O  0.995  0.293  0.000
O  0.000  0.000  0.707
O  0.707  0.005  0.000
K  0.000  0.000  0.000
Sm  0.000  0.000  0.500
Sm  0.000  0.500  0.000
Sm  0.500  0.000  0.000

energy relative to the elements, uncorrected: -0.765 eV per atom
N(E_F): 0.72 states/eV/atom
space-group type: No. 65